Entry 1:
# Li2FeAs2 (GGA-PBEsol, optimized geometry)
data_Li2FeAs2
_symmetry_space_group_name_H-M 'P 4/m b m'
_symmetry_Int_Tables_number 127
_symmetry_space_group_name_Hall '-P 4 2ab'
_cell_length_a 6.020
_cell_length_b 6.020
_cell_length_c 4.090
_cell_angle_alpha 90.00
_cell_angle_beta 90.00
_cell_angle_gamma 90.00
loop_
_atom_site_label
_atom_site_type_symbol
_atom_site_fract_x
_atom_site_fract_y
_atom_site_fract_z
_atom_site_occupancy
Li1 Li 0.169 0.331 0.000 1
Fe1 Fe 0.000 0.000 0.500 1
As1 As 0.147 0.647 0.500 1
# DFT total energy ... -5.048 eV/atom
# Calculated formation energy ... -426 meV per atom
# ρ ... 4.92 g/cm³
# Total moment ... 1.11 μB per formula unit

***

Entry 2:
# Be2Pt (GGA-PBEsol, optimized geometry)
data_Be2Pt
_symmetry_space_group_name_H-M 'I m m m'
_symmetry_Int_Tables_number 71
_symmetry_space_group_name_Hall '-I 2 2'
_cell_length_a 2.718
_cell_length_b 3.021
_cell_length_c 7.551
_cell_angle_alpha 90.00
_cell_angle_beta 90.00
_cell_angle_gamma 90.00
loop_
_atom_site_label
_atom_site_type_symbol
_atom_site_fract_x
_atom_site_fract_y
_atom_site_fract_z
_atom_site_occupancy
Be1 Be 0.000 0.000 0.172 1
Pt1 Pt 0.000 0.000 0.500 1
# DFT total energy ... -5.535 eV/atom
# Calculated formation energy ... -547 meV per atom
# ρ ... 11.41 g/cm³
# Total moment ... 0.00 μB per formula unit

***

Entry 3:
# TbErO3 (GGA-PBEsol, optimized geometry)
data_TbErO3
_symmetry_space_group_name_H-M 'P n m a'
_symmetry_Int_Tables_number 62
_cell_length_a 5.862
_cell_length_b 8.296
_cell_length_c 5.592
_cell_angle_alpha 90.00
_cell_angle_beta 90.00
_cell_angle_gamma 90.00
loop_
_symmetry_equiv_pos_as_xyz
'x,y,z'
'-x,-y,-z'
'-x+1/2,-y,z+1/2'
'x+1/2,y,-z+1/2'
'x+1/2,-y+1/2,-z+1/2'
'-x+1/2,y+1/2,z+1/2'
'-x,y+1/2,-z'
'x,-y+1/2,z'
loop_
_atom_site_label
_atom_site_type_symbol
_atom_site_fract_x
_atom_site_fract_y
_atom_site_fract_z
_atom_site_occupancy
Tb1 Tb 0.056 0.250 0.023 1
Er1 Er 0.000 0.000 0.500 1
O1 O 0.077 0.750 0.350 1
O2 O 0.192 0.581 0.811 1
# DFT total energy ... -8.705 eV/atom
# Formation energy from raw total energies ... -3.568 eV/atom
# ρ ... 9.14 g/cm³
# Total moment ... 0.00 μB per formula unit

***

Entry 4:
# Hf3TeP (GGA-PBEsol, optimized geometry)
data_Hf3TeP
_symmetry_space_group_name_H-M 'P m -3 m'
_symmetry_Int_Tables_number 221
_symmetry_space_group_name_Hall '-P 4 2 3'
_cell_length_a 4.797
_cell_length_b 4.797
_cell_length_c 4.797
_cell_angle_alpha 90.00
_cell_angle_beta 90.00
_cell_angle_gamma 90.00
loop_
_atom_site_label
_atom_site_type_symbol
_atom_site_fract_x
_atom_site_fract_y
_atom_site_fract_z
_atom_site_occupancy
Hf1 Hf 0.000 0.000 0.500 1
Te1 Te 0.500 0.500 0.500 1
P1 P 0.000 0.000 0.000 1
# DFT total energy ... -8.293 eV/atom
# Formation energy from raw total energies ... -0.128 eV/atom
# ρ ... 10.44 g/cm³
# Total moment ... 0.00 μB per formula unit

***

Entry 5:
# NaAlOsBr2 (GGA-PBEsol, optimized geometry)
data_NaAlOsBr2
_symmetry_space_group_name_H-M 'P 4/m m m'
_symmetry_Int_Tables_number 123
_symmetry_space_group_name_Hall '-P 4 2'
_cell_length_a 5.268
_cell_length_b 5.268
_cell_length_c 4.766
_cell_angle_alpha 90.00
_cell_angle_beta 90.00
_cell_angle_gamma 90.00
loop_
_atom_site_label
_atom_site_type_symbol
_atom_site_fract_x
_atom_site_fract_y
_atom_site_fract_z
_atom_site_occupancy
Na1 Na 0.000 0.000 0.000 1
Al1 Al 0.500 0.500 0.500 1
Os1 Os 0.500 0.500 0.000 1
Br1 Br 0.000 0.500 0.500 1
# DFT total energy ... -3.718 eV/atom
# Formation energy from raw total energies ... 0.572 eV/atom
# ρ ... 5.02 g/cm³
# Total moment ... 2.35 μB per formula unit

***

Entry 6:
# Cd2AgBr (GGA-PBEsol, optimized geometry)
data_Cd2AgBr
_symmetry_space_group_name_H-M 'P 4/m m m'
_symmetry_Int_Tables_number 123
_symmetry_space_group_name_Hall '-P 4 2'
_cell_length_a 4.015
_cell_length_b 4.015
_cell_length_c 5.710
_cell_angle_alpha 90.00
_cell_angle_beta 90.00
_cell_angle_gamma 90.00
loop_
_atom_site_label
_atom_site_type_symbol
_atom_site_fract_x
_atom_site_fract_y
_atom_site_fract_z
_atom_site_occupancy
Cd1 Cd 0.000 0.500 0.000 1
Ag1 Ag 0.000 0.000 0.500 1
Br1 Br 0.500 0.500 0.500 1
# DFT total energy ... -1.824 eV/atom
# Formation energy from raw total energies ... 0.070 eV/atom
# ρ ... 7.44 g/cm³
# Total moment ... 0.00 μB per formula unit

***

Entry 7:
# FeAg3Ru (GGA-PBEsol, optimized geometry)
data_FeAg3Ru
_symmetry_space_group_name_H-M 'P m -3 m'
_symmetry_Int_Tables_number 221
_symmetry_space_group_name_Hall '-P 4 2 3'
_cell_length_a 4.867
_cell_length_b 4.867
_cell_length_c 4.867
_cell_angle_alpha 90.00
_cell_angle_beta 90.00
_cell_angle_gamma 90.00
loop_
_atom_site_label
_atom_site_type_symbol
_atom_site_fract_x
_atom_site_fract_y
_atom_site_fract_z
_atom_site_occupancy
Fe1 Fe 0.000 0.000 0.000 1
Ag1 Ag 0.000 0.500 0.500 1
Ru1 Ru 0.500 0.500 0.500 1
# DFT total energy ... -3.898 eV/atom
# Calculated formation energy ... 1916 meV per atom
# ρ ... 6.92 g/cm³
# Total moment ... 5.45 μB per formula unit

***

Entry 8:
# Dy10Ti6O27 (GGA-PBEsol, optimized geometry)
data_Dy10Ti6O27
_symmetry_space_group_name_H-M 'C 1 m 1'
_symmetry_Int_Tables_number 8
_cell_length_a 12.702
_cell_length_b 7.190
_cell_length_c 12.416
_cell_angle_alpha 90.00
_cell_angle_beta 110.81
_cell_angle_gamma 90.00
loop_
_symmetry_equiv_pos_as_xyz
'x,y,z'
'x,-y,z'
'x+1/2,y+1/2,z'
'x+1/2,-y+1/2,z'
loop_
_atom_site_label
_atom_site_type_symbol
_atom_site_fract_x
_atom_site_fract_y
_atom_site_fract_z
_atom_site_occupancy
Dy1 Dy 0.000 0.000 0.000 1
Dy2 Dy 0.000 0.247 0.261 1
Dy3 Dy 0.224 0.000 0.760 1
Dy4 Dy 0.226 0.500 0.225 1
Dy5 Dy 0.236 0.500 0.719 1
Dy6 Dy 0.458 0.000 0.003 1
Dy7 Dy 0.483 0.254 0.740 1
Dy8 Dy 0.492 0.500 0.490 1
Ti1 Ti 0.224 0.000 0.240 1
Ti2 Ti 0.231 0.262 0.988 1
Ti3 Ti 0.239 0.244 0.500 1
Ti4 Ti 0.478 0.000 0.488 1
O1 O 0.038 0.500 0.653 1
O2 O 0.039 0.279 0.931 1
O3 O 0.041 0.500 0.183 1
O4 O 0.048 0.000 0.678 1
O5 O 0.061 0.000 0.198 1
O6 O 0.061 0.299 0.456 1
O7 O 0.174 0.000 0.496 1
O8 O 0.187 0.286 0.827 1
O9 O 0.197 0.249 0.332 1
O10 O 0.214 0.181 0.130 1
O11 O 0.217 0.500 0.043 1
O12 O 0.247 0.500 0.537 1
O13 O 0.264 0.000 0.952 1
O14 O 0.295 0.210 0.676 1
O15 O 0.385 0.000 0.319 1
O16 O 0.390 0.231 0.516 1
O17 O 0.390 0.284 0.050 1
O18 O 0.408 0.500 0.304 1
O19 O 0.416 0.500 0.809 1
# DFT total energy ... -8.995 eV/atom
# Formation energy from raw total energies ... -3.380 eV/atom
# ρ ... 7.35 g/cm³
# Total moment ... 0.00 μB per formula unit

***

Entry 9:
# CaSi2Ni (GGA-PBEsol, optimized geometry)
data_CaSi2Ni
_symmetry_space_group_name_H-M 'R 3 m'
_symmetry_Int_Tables_number 160
_symmetry_space_group_name_Hall 'R 3 -2"'
_cell_length_a 3.8561
_cell_length_b 3.8561
_cell_length_c 16.2339
_cell_angle_alpha 90.00
_cell_angle_beta 90.00
_cell_angle_gamma 120.00
loop_
_atom_site_label
_atom_site_type_symbol
_atom_site_fract_x
_atom_site_fract_y
_atom_site_fract_z
_atom_site_occupancy
Ca1 Ca 0.0000 0.0000 0.0000 1
Si1 Si 0.0000 0.0000 0.2048 1
Si2 Si 0.0000 0.0000 0.4588 1
Ni1 Ni 0.0000 0.0000 0.8152 1
# DFT total energy ... -5.522 eV/atom
# Formation energy from raw total energies ... -0.576 eV/atom
# ρ ... 3.69 g/cm³
# Total moment ... 0.00 μB per formula unit

***

Entry 10:
# CoSe2 (GGA-PBEsol, optimized geometry)
data_CoSe2
_symmetry_space_group_name_H-M 'P a -3'
_symmetry_Int_Tables_number 205
_symmetry_space_group_name_Hall '-P 2ac 2ab 3'
_cell_length_a 5.730
_cell_length_b 5.730
_cell_length_c 5.730
_cell_angle_alpha 90.00
_cell_angle_beta 90.00
_cell_angle_gamma 90.00
loop_
_atom_site_label
_atom_site_type_symbol
_atom_site_fract_x
_atom_site_fract_y
_atom_site_fract_z
_atom_site_occupancy
Co1 Co 0.000 0.000 0.000 1
Se1 Se 0.129 0.629 0.871 1
# DFT total energy ... -5.520 eV/atom
# Formation energy from raw total energies ... -0.374 eV/atom
# ρ ... 7.66 g/cm³
# Total moment ... 0.01 μB per formula unit

***

Entry 11:
# BeP2W (GGA-PBEsol, optimized geometry)
data_BeP2W
_symmetry_space_group_name_H-M 'I m m m'
_symmetry_Int_Tables_number 71
_symmetry_space_group_name_Hall '-I 2 2'
_cell_length_a 3.210
_cell_length_b 4.331
_cell_length_c 7.011
_cell_angle_alpha 90.00
_cell_angle_beta 90.00
_cell_angle_gamma 90.00
loop_
_atom_site_label
_atom_site_type_symbol
_atom_site_fract_x
_atom_site_fract_y
_atom_site_fract_z
_atom_site_occupancy
Be1 Be 0.000 0.000 0.000 1
P1 P 0.000 0.500 0.288 1
W1 W 0.000 0.000 0.500 1
# DFT total energy ... -7.401 eV/atom
# Calculated formation energy ... -53 meV per atom
# ρ ... 8.68 g/cm³
# Total moment ... 0.00 μB per formula unit

***

Entry 12:
# TeMo2W (GGA-PBEsol, optimized geometry)
data_TeMo2W
_symmetry_space_group_name_H-M 'P 4/m m m'
_symmetry_Int_Tables_number 123
_symmetry_space_group_name_Hall '-P 4 2'
_cell_length_a 3.179
_cell_length_b 3.179
_cell_length_c 6.633
_cell_angle_alpha 90.00
_cell_angle_beta 90.00
_cell_angle_gamma 90.00
loop_
_atom_site_label
_atom_site_type_symbol
_atom_site_fract_x
_atom_site_fract_y
_atom_site_fract_z
_atom_site_occupancy
Te1 Te 0.000 0.000 0.000 1
Mo1 Mo 0.500 0.500 0.266 1
W1 W 0.000 0.000 0.500 1
# DFT total energy ... -9.922 eV/atom
# Formation energy from raw total energies ... 0.295 eV/atom
# ρ ... 12.47 g/cm³
# Total moment ... 0.00 μB per formula unit